Entry 1:
First-principles (PBE-GGA) data for ErTiTl after structural relaxation, as listed in Alexandria via LeMat-Bulk.

E_tot   -28.52 eV per cell
Crystal system   trigonal
SG   No. 166
Calculated volume   152 Å³ per cell
Theoretical density   9.1 g/cm3
Energy above the most stable polymorph in this dataset   192.4 meV/atom
Spin magnetization   0.649 μB/atom

a b c (Å): 7.394 7.394 7.394
angles (deg): 40.29 40.29 40.29
Positions (direct):
Er: 0.123 0.123 0.123
Er: 0.877 0.877 0.877
Ti: 0.290 0.290 0.290
Ti: 0.710 0.710 0.710
Tl: 0.425 0.425 0.425
Tl: 0.575 0.575 0.575

---

Entry 2:
First-principles (PBE-GGA) data for TlPtBr2 after structural relaxation, as listed in Alexandria via LeMat-Bulk.

E_tot   -25.08 eV per cell
Crystal system   monoclinic
SG   No. 12
Calculated volume   230 Å³ per cell
Theoretical density   8.1 g/cm3
Energy above the most stable polymorph in this dataset   4.7 meV/atom
Spin magnetization   0.170 μB/atom
Formation energy (no corrections)   -0.197 eV per atom

a b c (Å): 11.605 3.816 6.099
angles (deg): 90.00 121.54 90.00
Positions (direct):
Tl: 0.000 0.000 0.000
Tl: 0.500 0.500 0.000
Pt: 0.000 0.500 0.500
Pt: 0.500 0.000 0.500
Br: 0.173 0.000 0.673
Br: 0.327 0.500 0.327
Br: 0.673 0.500 0.673
Br: 0.827 0.000 0.327

---

Entry 3:
First-principles (PBE-GGA) data for K3ScPa3Te8 after structural relaxation, as listed in Alexandria via LeMat-Bulk.

E_tot   -78.18 eV per cell
Crystal system   trigonal
SG   No. 166
Calculated volume   561 Å³ per cell
Theoretical density   5.6 g/cm3
Spin magnetization   0.336 μB/atom
Formation energy (no corrections)   -0.995 eV per atom

a b c (Å): 9.956 9.956 9.956
angles (deg): 51.68 51.68 51.68
Positions (direct):
K: 0.000 0.500 0.500
K: 0.500 0.000 0.500
K: 0.500 0.500 0.000
Sc: 0.500 0.500 0.500
Pa: 0.000 0.000 0.500
Pa: 0.000 0.500 0.000
Pa: 0.500 0.000 0.000
Te: 0.239 0.239 0.239
Te: 0.245 0.730 0.730
Te: 0.270 0.270 0.755
Te: 0.270 0.755 0.270
Te: 0.730 0.245 0.730
Te: 0.730 0.730 0.245
Te: 0.755 0.270 0.270
Te: 0.761 0.761 0.761

---

Entry 4:
First-principles (PBE-GGA) data for NbReTcSn after structural relaxation, as listed in Alexandria via LeMat-Bulk.

E_tot   -147.71 eV per cell
Crystal system   cubic
SG   No. 216
Calculated volume   269 Å³ per cell
Theoretical density   12.2 g/cm3
Spin magnetization   0.000 μB/atom

a b c (Å): 6.456 6.456 6.456
angles (deg): 90.00 90.00 90.00
Positions (direct):
Nb: 0.000 0.000 0.000
Nb: 0.000 0.500 0.500
Nb: 0.500 0.000 0.500
Nb: 0.500 0.500 0.000
Re: 0.250 0.250 0.250
Re: 0.250 0.750 0.750
Re: 0.750 0.250 0.750
Re: 0.750 0.750 0.250
Tc: 0.250 0.250 0.750
Tc: 0.250 0.750 0.250
Tc: 0.750 0.250 0.250
Tc: 0.750 0.750 0.750
Sn: 0.000 0.000 0.500
Sn: 0.000 0.500 0.000
Sn: 0.500 0.000 0.000
Sn: 0.500 0.500 0.500

---

Entry 5:
First-principles (PBE-GGA) data for Rb2LiTiPd after structural relaxation, as listed in Alexandria via LeMat-Bulk.

E_tot   -14.01 eV per cell
Crystal system   tetragonal
SG   No. 123
Calculated volume   223 Å³ per cell
Theoretical density   2.5 g/cm3
Spin magnetization   0.556 μB/atom

a b c (Å): 6.754 6.754 4.898
angles (deg): 90.00 90.00 90.00
Positions (direct):
Rb: 0.000 0.500 0.000
Rb: 0.500 0.000 0.000
Li: 0.000 0.000 0.500
Ti: 0.500 0.500 0.500
Pd: 0.500 0.500 0.000

---

Entry 6:
First-principles (PBE-GGA) data for Ce2Fe2P2C after structural relaxation, as listed in Alexandria via LeMat-Bulk.

E_tot   -110.29 eV per cell
Crystal system   monoclinic
SG   No. 12
Calculated volume   219 Å³ per cell
Theoretical density   7.1 g/cm3
Spin magnetization   0.000 μB/atom

a b c (Å): 10.651 3.802 6.716
angles (deg): 90.00 126.40 90.00
Positions (direct):
Ce: 0.058 0.000 0.308
Ce: 0.442 0.500 0.692
Ce: 0.558 0.500 0.308
Ce: 0.942 0.000 0.692
Fe: 0.193 0.500 0.074
Fe: 0.307 0.000 0.926
Fe: 0.693 0.000 0.074
Fe: 0.807 0.500 0.926
P: 0.188 0.500 0.733
P: 0.312 0.000 0.267
P: 0.688 0.000 0.733
P: 0.812 0.500 0.267
C: 0.000 0.500 0.000
C: 0.500 0.000 0.000